Entry 1
Computed, not measured: a relaxed structure of BaReRu3 at the PBE-GGA level of DFT.

Structure (POSCAR):
```
BaReRu3
1.0
4.818 0.000 0.000
0.000 4.818 0.000
0.000 0.000 4.818
Ba Re Ru
1 1 3
direct
0.000 0.000 0.000 Ba
0.500 0.500 0.500 Re
0.000 0.000 0.500 Ru
0.000 0.500 0.000 Ru
0.500 0.000 0.000 Ru
```

## Properties
Its spin magnetization is 0.00 μB per formula unit. The calculation puts the density of states at the Fermi level at 18.2 states/eV/f.u.

Entry 2
Computed, not measured: a relaxed structure of BaReRu3 at the PBE-GGA level of DFT.

Structure (POSCAR):
```
BaReRu3
1.0
4.811 0.000 0.000
0.000 4.811 0.000
0.000 0.000 4.811
Ba Re Ru
1 1 3
direct
0.000 0.000 0.000 Ba
0.500 0.500 0.500 Re
0.000 0.500 0.500 Ru
0.500 0.000 0.500 Ru
0.500 0.500 0.000 Ru
```

## Properties
Its spin magnetization is 0.00 μB per formula unit. The calculation puts the density of states at the Fermi level at 6.3 states/eV/f.u.

It comes down to entry 2, which is 236.3 kJ/mol of atoms more stable than the next structure.